First-principles (GGA-PBE) data for an optimized crystal structure of La3Tb4NdSe8, as listed in Alexandria.

Lattice parameters (Å, degrees): 8.342 8.438 8.342 119.63 120.00 90.00
Sites, in units of the cell vectors:
1 La 0.500 0.500 0.000
2 La 0.500 0.500 0.500
3 La 0.000 0.500 0.500
4 Tb 0.500 0.000 0.000
5 Tb 0.500 0.000 0.500
6 Tb 0.000 0.000 0.000
7 Tb 0.000 0.000 0.500
8 Nd 0.000 0.500 0.000
9 Se 0.254 0.766 0.011
10 Se 0.254 0.766 0.509
11 Se 0.244 0.233 0.488
12 Se 0.757 0.766 0.011
13 Se 0.243 0.234 0.989
14 Se 0.756 0.767 0.512
15 Se 0.746 0.234 0.491
16 Se 0.746 0.234 0.989

Output
total magnetization	0.00	μB per cell
SG	No. 166
DFT total energy	-5.990	eV per atom

***

First-principles (GGA-PBE) data for an optimized crystal structure of Ni2AgAu2, as listed in Alexandria.

Lattice parameters (Å, degrees): 7.464 7.464 2.817 90.00 90.00 90.00
Sites, in units of the cell vectors:
1 Ni 0.383 0.883 0.000
2 Ni 0.883 0.617 0.000
3 Ni 0.617 0.117 0.000
4 Ni 0.117 0.383 0.000
5 Au 0.178 0.678 0.500
6 Au 0.678 0.822 0.500
7 Au 0.822 0.322 0.500
8 Au 0.322 0.178 0.500
9 Ag 0.000 0.000 0.000
10 Ag 0.500 0.500 0.000

Output
distance to the lowest polymorph of the same formula	0	meV/atom
total magnetization	0.76	μB per cell
SG	No. 127
calculated formation energy	0.82	eV per formula unit

***

First-principles (GGA-PBE) data for an optimized crystal structure of Zr3H, as listed in Alexandria.

Lattice parameters (Å, degrees): 5.517 7.859 7.859 82.92 69.45 69.45
Sites, in units of the cell vectors:
1 Zr 0.358 0.026 0.813
2 Zr 0.197 0.974 0.187
3 Zr 0.829 0.813 0.974
4 Zr 0.616 0.187 0.026
5 Zr 0.542 0.313 0.548
6 Zr 0.403 0.687 0.452
7 Zr 0.910 0.548 0.687
8 Zr 0.145 0.452 0.313
9 Zr 0.031 0.067 0.598
10 Zr 0.696 0.933 0.402
11 Zr 0.371 0.598 0.933
12 Zr 0.902 0.402 0.067
13 H 0.919 0.337 0.545
14 H 0.801 0.663 0.455
15 H 0.536 0.545 0.663
16 H 0.744 0.455 0.337

Output
distance to the lowest polymorph of the same formula	36	meV/atom
total magnetization	0.00	μB per cell
SG	No. 82

***

First-principles (GGA-PBE) data for an optimized crystal structure of La8Ga3Cu2, as listed in Alexandria.

Lattice parameters (Å, degrees): 5.199 10.237 8.934 124.95 90.00 90.00
Sites, in units of the cell vectors:
1 La 0.000 0.623 0.246
2 La 0.000 0.377 0.754
3 La 0.000 0.135 0.270
4 La 0.000 0.865 0.730
5 La 0.500 0.614 0.746
6 La 0.500 0.132 0.746
7 La 0.500 0.868 0.254
8 La 0.500 0.386 0.254
9 Ga 0.500 0.000 0.000
10 Ga 0.000 0.246 0.000
11 Ga 0.000 0.754 0.000
12 Cu 0.500 0.246 0.493
13 Cu 0.500 0.754 0.507

Output
total magnetization	0.00	μB per cell
SG	No. 65
calculated formation energy	-2.71	eV per formula unit

***

First-principles (GGA-PBE) data for an optimized crystal structure of Cs2US4, as listed in Alexandria.

Lattice parameters (Å, degrees): 4.180 8.583 13.618 90.00 90.00 90.00
Sites, in units of the cell vectors:
1 Cs 0.500 0.936 0.826
2 Cs 0.500 0.064 0.174
3 Cs 0.500 0.436 0.674
4 Cs 0.500 0.564 0.326
5 U 0.000 0.000 0.500
6 U 0.000 0.500 0.000
7 S 0.000 0.620 0.837
8 S 0.000 0.380 0.163
9 S 0.000 0.120 0.663
10 S 0.000 0.880 0.337
11 S 0.500 0.825 0.550
12 S 0.500 0.175 0.450
13 S 0.500 0.675 0.050
14 S 0.500 0.325 0.950

Output
distance to the lowest polymorph of the same formula	50	meV/atom
total magnetization	0.00	μB per cell
SG	No. 55

***

First-principles (GGA-PBE) data for an optimized crystal structure of ThCrN2, as listed in Alexandria.

Lattice parameters (Å, degrees): 3.445 5.473 5.473 90.00 90.00 90.00
Sites, in units of the cell vectors:
1 Th 0.000 0.500 0.500
2 Th 0.000 0.000 0.000
3 Cr 0.500 0.500 0.000
4 Cr 0.500 0.000 0.500
5 N 0.500 0.250 0.750
6 N 0.500 0.250 0.250
7 N 0.500 0.750 0.750
8 N 0.500 0.750 0.250

Output
total magnetization	0.74	μB per cell
SG	No. 123
DFT total energy	-9.590	eV per atom

***

> Which formula does entry 5 have?

Cs2US4

***

> Look up the total magnetization of the fourth one.

0.00 μB per cell